# Tl2NiGeO6 (GGA+U, optimized geometry)
# ρ in g/cm3: 9.1
# VASP energy in eV per atom: -5.16
# D(E_F) in states/eV/cell: 0.21
# Crystal system: monoclinic
data_Tl2NiGeO6
_chemical_formula_sum 'Tl2 Ni1 Ge1 O6'
_cell_length_a 5.334
_cell_length_b 5.518
_cell_length_c 5.518
_cell_angle_alpha 59.80
_cell_angle_beta 61.13
_cell_angle_gamma 61.13
_symmetry_space_group_name_H-M 'P 1'
_symmetry_Int_Tables_number 1
loop_
_symmetry_equiv_pos_as_xyz
'x,y,z'
loop_
_atom_site_label
_atom_site_fract_x
_atom_site_fract_y
_atom_site_fract_z
Tl1 0.542 0.560 0.308
Tl2 0.090 0.059 0.808
Ni1 0.816 0.815 0.552
Ge1 0.316 0.316 0.051
O1 0.484 0.140 0.364
O2 0.148 0.004 0.228
O3 0.957 0.559 0.276
O4 0.487 0.627 0.878
O5 0.675 0.092 0.809
O6 0.145 0.490 0.741